Entry 1:
Below is a geometry-optimized SrNb3Hg structure, with properties calculated at the PBEsol level.

Output
Total DFT energy (no corrections)   -5.29 eV per atom
N(E_F)   2.441 states/eV/atom
Formation enthalpy at 0 K   1688 meV/atom
SG   Pm-3m (221)
Theoretical density   6.9 g cm⁻³

```
5
Lattice="5.149 0.000 0.000 0.000 5.149 0.000 0.000 0.000 5.149" Properties=species:S:1:pos:R:3 pbc="T T T"
Sr 0.000 0.000 0.000
Nb 0.000 2.574 2.574
Nb 2.574 0.000 2.574
Nb 2.574 2.574 0.000
Hg 2.574 2.574 2.574
```

Entry 2:
Below is a geometry-optimized TaNb3Hg structure, with properties calculated at the PBEsol level.

Output
Total DFT energy (no corrections)   -7.69 eV per atom
N(E_F)   1.216 states/eV/atom
Formation enthalpy at 0 K   1423 meV/atom
SG   Pm-3m (221)
Theoretical density   9.6 g cm⁻³

```
5
Lattice="4.846 0.000 0.000 0.000 4.846 0.000 0.000 0.000 4.846" Properties=species:S:1:pos:R:3 pbc="T T T"
Ta 0.000 0.000 0.000
Nb 0.000 0.000 2.423
Nb 0.000 2.423 0.000
Nb 2.423 0.000 0.000
Hg 2.423 2.423 2.423
```

Entry 3:
Below is a geometry-optimized Nb3TlHg structure, with properties calculated at the PBEsol level.

Output
Total DFT energy (no corrections)   -5.38 eV per atom
N(E_F)   0.995 states/eV/atom
Formation enthalpy at 0 K   1748 meV/atom
SG   Pm-3m (221)
Theoretical density   9.1 g cm⁻³

```
5
Lattice="5.003 0.000 0.000 0.000 5.003 0.000 0.000 0.000 5.003" Properties=species:S:1:pos:R:3 pbc="T T T"
Nb 0.000 0.000 2.501
Nb 0.000 2.501 0.000
Nb 2.501 0.000 0.000
Tl 2.501 2.501 2.501
Hg 0.000 0.000 0.000
```

Entry 4:
Below is a geometry-optimized Nb3TlHg structure, with properties calculated at the PBEsol level.

Output
Total DFT energy (no corrections)   -5.17 eV per atom
N(E_F)   1.274 states/eV/atom
Formation enthalpy at 0 K   1966 meV/atom
SG   Pm-3m (221)
Theoretical density   8.9 g cm⁻³

```
5
Lattice="5.034 0.000 0.000 0.000 5.034 0.000 0.000 0.000 5.034" Properties=species:S:1:pos:R:3 pbc="T T T"
Nb 0.000 0.000 2.517
Nb 0.000 2.517 0.000
Nb 2.517 0.000 0.000
Tl 0.000 0.000 0.000
Hg 2.517 2.517 2.517
```